BaLa4Se after structural relaxation, computed with GGA-PBE.

Values from the calculation:
energy relative to the elements, uncorrected: 0.143 eV per atom
final energy: -24.259 eV per cell
symmetry: F-43m, No. 216

Cell: 6.7709 6.7709 6.7709 Å, 60.00 60.00 60.00°
With the nearest neighbours (Å) after each atom.
Element x y z (fractional)
Ba: 0.0000 0.0000 0.0000  12 La 3.96, 4 Se 4.15
La: 0.8816 0.3728 0.3728  6 La 3.33-3.45
La: 0.3728 0.3728 0.8816  6 La 3.33-3.45
La: 0.3728 0.8816 0.3728  6 La 3.33-3.45
La: 0.3728 0.3728 0.3728  6 La 3.33-3.45
Se: 0.7500 0.7500 0.7500  12 La 3.98, 4 Ba 4.15

YEr5Sc3 after structural relaxation, computed with GGA-PBE.

Values from the calculation:
ΔE_f: 46.7 kJ/mol of atoms
final energy: -87.827 eV per cell
symmetry: C2/m, No. 12
offset from the most stable computed form: 7.25 kcal/mol of atoms

Cell: 9.1222 9.1222 11.1726 Å, 53.07 53.07 74.39°
With the nearest neighbours (Å) after each atom.
Element x y z (fractional)
Y: 0.1491 0.1491 0.5970  4 Sc 3.07-3.29, 2 Er 3.24-3.26
Y: 0.8509 0.8509 0.4030  4 Sc 3.07-3.29, 2 Er 3.24-3.26
Er: 0.8567 0.3517 0.2578  3 Er 3.29-3.55, 3 Sc 3.30-3.60
Er: 0.2574 0.7426 0.0000  1 Sc 2.84
Er: 0.8133 0.8133 0.9709  3 Sc 2.97-3.20, 3 Er 3.17-3.29, 1 Y 3.24
Er: 0.4883 0.4883 0.2316  3 Sc 3.07-3.21, 3 Er 3.17-3.38, 1 Y 3.26
Er: 0.5117 0.5117 0.7684  3 Sc 3.07-3.21, 3 Er 3.17-3.38, 1 Y 3.26
Er: 0.1867 0.1867 0.0291  3 Sc 2.97-3.20, 3 Er 3.17-3.29, 1 Y 3.24
Er: 0.3517 0.8567 0.2578  3 Er 3.29-3.55, 3 Sc 3.30-3.60
Er: 0.7426 0.2574 0.0000  1 Sc 2.84
Er: 0.1433 0.6483 0.7422  3 Er 3.29-3.55, 3 Sc 3.30-3.60
Er: 0.6483 0.1433 0.7422  3 Er 3.29-3.55, 3 Sc 3.30-3.60
Sc: 0.6951 0.6951 0.8184  1 Sc 2.92, 5 Er 3.07-3.26
Sc: 0.6543 0.6543 0.3683  2 Sc 2.98-3.31, 2 Er 3.09-3.21, 1 Y 3.16
Sc: 0.0000 0.0000 0.0000  4 Er 2.84-2.97
Sc: 0.0000 0.0000 0.5000  2 Sc 2.92, 2 Y 3.07
Sc: 0.3049 0.3049 0.1816  1 Sc 2.92, 5 Er 3.07-3.26
Sc: 0.3457 0.3457 0.6317  2 Sc 2.98-3.31, 2 Er 3.09-3.21, 1 Y 3.16

PuPaN2O after structural relaxation, computed with GGA-PBE.

Values from the calculation:
energy relative to the elements, uncorrected: -1.848 eV per atom
final energy: -109.353 eV per cell
symmetry: Cmcm, No. 63

Cell: 3.3997 5.8522 7.4214 Å, 90.00 90.00 106.89°
With the nearest neighbours (Å) after each atom.
Element x y z (fractional)
Pu: 0.0000 0.0000 0.5000  2 O 2.26, 4 N 2.38
Pu: 0.0000 0.0000 0.0000  2 O 2.26, 4 N 2.38
Pa: 0.2483 0.4966 0.7500  2 O 2.29, 4 N 2.50
Pa: 0.7517 0.5034 0.2500  2 O 2.29, 4 N 2.50
N: 0.6440 0.2880 0.5592  2 Pu 2.38, 3 Pa 2.50-2.59
N: 0.3560 0.7120 0.4408  2 Pu 2.38, 3 Pa 2.50-2.59
N: 0.3560 0.7120 0.0592  2 Pu 2.38, 3 Pa 2.50-2.59
N: 0.6440 0.2880 0.9408  2 Pu 2.38, 3 Pa 2.50-2.59
O: 0.8855 0.7710 0.7500  2 Pu 2.26, 2 Pa 2.29
O: 0.1145 0.2290 0.2500  2 Pu 2.26, 2 Pa 2.29

BeFePb after structural relaxation, computed with GGA-PBE.

Values from the calculation:
ΔE_f: 61.4 kJ/mol of atoms
final energy: -13.989 eV per cell
symmetry: F-43m, No. 216
offset from the most stable computed form: 3.49 kcal/mol of atoms

Cell: 4.1106 4.1106 4.1106 Å, 60.00 60.00 60.00°
With the nearest neighbours (Å) after each atom.
Element x y z (fractional)
Pb: 0.5000 0.5000 0.5000  4 Be 2.52
Be: 0.2500 0.2500 0.2500  4 Pb 2.52, 4 Fe 2.52
Fe: 0.0000 0.0000 0.0000  4 Be 2.52